Entry 1:
TiGaAu | PBE | optimized geometry

Unit cell a=4.172 b=2.965 c=8.322 alpha=89.99 beta=90.00 gamma=90.00
Site moments in Bohr magnetons follow the coordinates.
Sites, in units of the cell vectors:
Au: 0.913 0.084 0.338  0.04
Au: 0.413 0.084 0.838  0.01
Ga: 0.913 0.084 0.654  0.00
Ga: 0.913 0.085 0.022  0.00
Ti: 0.413 0.585 0.162  0.66
Ti: 0.413 0.584 0.514  0.66

Properties
ΔE_f, eV/f.u.: -1.062



Entry 2:
TiGaAu | PBE | optimized geometry

Unit cell a=6.652 b=3.913 c=4.036 alpha=90.00 beta=107.69 gamma=90.00
Sites, in units of the cell vectors:
Au: 0.758 0.011 0.299
Au: 0.102 0.511 0.471
Ga: 0.105 0.011 0.972
Ga: 0.447 0.011 0.643
Ti: 0.777 0.511 0.808
Ti: 0.432 0.511 0.136

Properties
ΔE_f, eV/f.u.: -1.087



Entry 3:
TiGaAu | PBE | optimized geometry

Unit cell a=4.428 b=5.335 c=5.335 alpha=115.17 beta=114.49 gamma=65.51
Sites, in units of the cell vectors:
Au: 0.246 0.736 0.819
Au: 0.592 0.390 0.164
Ga: 0.581 0.901 0.653
Ga: 0.257 0.225 0.330
Ti: 0.919 0.314 0.743
Ti: 0.919 0.812 0.241

Properties
ΔE_f, eV/f.u.: -1.204



Entry 4:
TiGaAu2 | PBE | optimized geometry

Unit cell a=3.957 b=4.165 c=4.165 alpha=90.00 beta=90.00 gamma=90.00
Sites, in units of the cell vectors:
Au: 0.000 0.000 0.500
Au: 0.000 0.500 0.000
Ga: 0.500 0.500 0.500
Ti: 0.500 0.000 0.000

Properties
ΔE_f, eV/f.u.: -1.089



Entry 5:
Ti3Ga4Au | PBE | optimized geometry

Unit cell a=2.808 b=8.624 c=7.214 alpha=126.70 beta=101.22 gamma=90.00
Sites, in units of the cell vectors:
Ti: 0.231 0.231 0.463
Ti: 0.769 0.769 0.537
Ti: 0.000 0.500 0.000
Ga: 0.377 0.136 0.755
Ga: 0.623 0.864 0.245
Ga: 0.623 0.381 0.245
Ga: 0.377 0.619 0.755
Au: 0.500 0.000 0.000

Properties
ΔE_f, eV/f.u.: -1.762



Entry 6:
TiGaAu | PBE | optimized geometry

Unit cell a=3.909 b=3.909 c=6.921 alpha=90.00 beta=90.00 gamma=90.00
Site moments in Bohr magnetons follow the coordinates.
Sites, in units of the cell vectors:
Au: 0.000 0.500 0.773  0.03
Au: 0.500 0.000 0.227  0.03
Ga: 0.000 0.000 0.500  -0.01
Ga: 0.500 0.500 0.500  -0.01
Ti: 0.000 0.500 0.152  0.36
Ti: 0.500 0.000 0.848  0.36

Properties
ΔE_f, eV/f.u.: -0.684



Which of these has the highest ΔE_f?
number 6



ΔE_f of number 5 (Ti3Ga4Au)?
-1.762 eV/f.u.



ΔE_f of number 4 (TiGaAu2)?
-1.089 eV/f.u.



The lowest ΔE_f belongs to which entry?
Ti3Ga4Au